# 1
## K2SmNpTe4 (PBE-GGA)

Data for K2SmNpTe4 after structural relaxation.

Structure (POSCAR):
```
K2SmNpTe4
1.0
4.571 0.000 0.000
0.000 7.936 0.136
0.000 -2.786 8.170
Sm Te K Np
1 4 2 1
Direct
0.500 0.500 0.000
0.000 0.263 0.788
0.500 0.764 0.790
0.500 0.236 0.210
0.000 0.737 0.212
0.000 0.500 0.500
0.500 0.000 0.500
0.000 0.000 0.000
```

Properties
**V**: 37.26 Å³/atom
**Formation energy (no corrections)**: -1.146 eV/atom



# 2
## FeS (PBE-GGA)

Data for FeS after structural relaxation.

Structure (POSCAR):
```
FeS
1.0
7.890 0.000 0.000
0.000 10.319 0.000
0.000 0.000 6.688
S Fe
16 16
Direct
0.781 0.000 0.500
0.031 0.250 0.250
0.969 0.750 0.250
0.281 0.000 0.000
0.469 0.750 0.750
0.719 0.500 0.500
0.719 0.000 0.000
0.281 0.500 0.500
0.531 0.750 0.250
0.969 0.250 0.750
0.781 0.500 0.000
0.219 0.500 0.000
0.031 0.750 0.750
0.531 0.250 0.750
0.469 0.250 0.250
0.219 0.000 0.500
0.000 0.375 0.000
0.750 0.625 0.250
0.250 0.875 0.750
0.750 0.125 0.750
0.000 0.625 0.000
0.500 0.875 0.000
0.000 0.875 0.500
0.000 0.125 0.500
0.250 0.125 0.250
0.250 0.625 0.750
0.500 0.625 0.500
0.750 0.875 0.250
0.250 0.375 0.250
0.500 0.125 0.000
0.500 0.375 0.500
0.750 0.375 0.750
```

Properties
**V**: 17.02 Å³/atom
**Formation energy (no corrections)**: -0.388 eV/atom



# 3
## KNa2NbF6 (PBE-GGA)

Data for KNa2NbF6 after structural relaxation.

Structure (POSCAR):
```
KNa2NbF6
1.0
-4.022 -0.283 5.053
-3.798 5.042 1.395
-6.380 -0.394 -0.965
F K Na Nb
6 1 2 1
Direct
0.227 0.227 0.773
0.773 0.227 0.773
0.773 0.227 0.227
0.227 0.773 0.227
0.227 0.773 0.773
0.773 0.773 0.227
0.500 0.500 0.500
0.250 0.250 0.250
0.750 0.750 0.750
0.000 0.000 0.000
```

Properties
**V**: 19.10 Å³/atom
**Formation energy (no corrections)**: -2.530 eV/atom